# 1
{
  "formula": "Sr3CaAu2O6",
  "functional": "PBE",
  "state": "optimized geometry",
  "space_group": "No. 164",
  "density_g_cm3": 6.40,
  "magmom_total_mub_per_fu": 0.0,
  "final_energy_ry_per_atom": -0.3745,
  "dos_ef_per_ev_cell": 6.50,
  "lattice": [[-2.716, -3.525, 4.054], [5.952, -0.383, -0.814], [0.923, 4.576, 4.598]],
  "species": ["Sr", "O", "O", "Au", "O", "Au", "O", "O", "Sr", "Ca", "Sr", "O"],
  "fractional_positions": [[0.667, 0.333, 0.395], [0.169, 0.831, 0.296], [0.831, 0.169, 0.704], [0.667, 0.333, 0.895], [0.337, 0.169, 0.704], [0.333, 0.667, 0.105], [0.831, 0.663, 0.704], [0.663, 0.831, 0.296], [0.333, 0.667, 0.605], [0.000, 0.000, 0.500], [0.000, 0.000, 0.000], [0.169, 0.337, 0.296]]
}

---

# 2
{
  "formula": "SrCa2AuO4",
  "functional": "PBE",
  "state": "optimized geometry",
  "space_group": "No. 63",
  "density_g_cm3": 5.68,
  "magmom_total_mub_per_fu": 0.4,
  "final_energy_ry_per_atom": -0.4085,
  "dos_ef_per_ev_cell": 11.00,
  "lattice": [[3.432, 0.000, 0.000], [-1.716, 6.006, 0.000], [0.000, 0.000, 12.159]],
  "species": ["Au", "Ca", "O", "O", "O", "O", "Ca", "Au", "O", "Sr", "O", "O", "Ca", "Ca", "Sr", "O"],
  "fractional_positions": [[0.125, 0.250, 0.250], [0.627, 0.254, 0.462], [0.000, 0.000, 0.500], [0.515, 0.031, 0.250], [0.261, 0.521, 0.117], [0.261, 0.521, 0.383], [0.627, 0.254, 0.038], [0.875, 0.750, 0.750], [0.739, 0.479, 0.883], [0.140, 0.280, 0.750], [0.739, 0.479, 0.617], [0.000, 0.000, 0.000], [0.373, 0.746, 0.962], [0.373, 0.746, 0.538], [0.860, 0.720, 0.250], [0.485, 0.969, 0.750]]
}

---

Repeat the first record exactly.
{
  "formula": "Sr3CaAu2O6",
  "functional": "PBE",
  "state": "optimized geometry",
  "space_group": "No. 164",
  "density_g_cm3": 6.40,
  "magmom_total_mub_per_fu": 0.0,
  "final_energy_ry_per_atom": -0.3745,
  "dos_ef_per_ev_cell": 6.50,
  "lattice": [[-2.716, -3.525, 4.054], [5.952, -0.383, -0.814], [0.923, 4.576, 4.598]],
  "species": ["Sr", "O", "O", "Au", "O", "Au", "O", "O", "Sr", "Ca", "Sr", "O"],
  "fractional_positions": [[0.667, 0.333, 0.395], [0.169, 0.831, 0.296], [0.831, 0.169, 0.704], [0.667, 0.333, 0.895], [0.337, 0.169, 0.704], [0.333, 0.667, 0.105], [0.831, 0.663, 0.704], [0.663, 0.831, 0.296], [0.333, 0.667, 0.605], [0.000, 0.000, 0.500], [0.000, 0.000, 0.000], [0.169, 0.337, 0.296]]
}

---

> Number 2 is which compound?

SrCa2AuO4